[1]
A plane-wave DFT calculation with GGA-PBE was carried out for a relaxed structure of Pb2AuI7.

It has space group P-1 (No. 2), with a = 4.654 Å, b = 7.634 Å, c = 12.369 Å, α = 75.54°, β = 82.94° and γ = 72.96°. The inequivalent atoms are Pb at (0.167, 0.270, 0.359), Au at (0.500, 0.500, 0.000), I at (0.197, 0.032, 0.636), I at (0.268, 0.212, 0.098), I at (0.475, 0.598, 0.197) and I at (0.500, 0.500, 0.500).

The electronic total energy comes out at -2.537 eV/atom. The crystal system is triclinic.



[2]
A plane-wave DFT calculation with GGA-PBE was carried out for a relaxed structure of YU.

It has space group P-6m2 (No. 187), with a = 3.2347 Å, b = 3.2347 Å, c = 5.7620 Å, α = 90.00°, β = 90.00° and γ = 120.00°. The inequivalent atoms are Y at (0.0000, 0.0000, 0.0000) and U at (0.3333, 0.6667, 0.5000).

The electronic total energy comes out at -8.382 eV/atom. The calculation puts the formation energy at 0.50 eV/atom. As for the relative energy among the computed polymorphs: 0 meV per atom. The crystal system is hexagonal.



[3]
A plane-wave DFT calculation with GGA-PBE was carried out for a relaxed structure of AcLuO3.

It has space group R-3c (No. 167, hexagonal axes), with a = 6.0115 Å, b = 6.0115 Å, c = 14.4403 Å, α = 90.00°, β = 90.00° and γ = 120.00°. The inequivalent atoms are Ac at (0.0000, 0.0000, 0.2500), Lu at (0.0000, 0.0000, 0.0000) and O at (0.0000, 0.4070, 0.2500).

The electronic total energy comes out at -8.209 eV/atom. The crystal system is trigonal.